# LiMg3

LiMg3 after structural relaxation (PBE, the Alexandria database).

Unit cell a=5.822 b=5.822 c=5.822 alpha=145.27 beta=129.63 gamma=62.63
Fractional coordinates of all 4 atoms:
Mg (0.418, 0.500, 0.918)
Mg (0.154, 0.738, 0.416)
Mg (0.677, 0.262, 0.416)
Li (0.918, 0.000, 0.918)

Values from the calculation:
Formation enthalpy at 0 K, eV/atom: -0.035
SG: Imm2, No. 44
Electronic total energy, eV per atom: -1.71